Entry from Alexandria: a relaxed ZrSeIBr2 crystal (PBE-GGA).

Properties
Density ... 4.20 g cm⁻³
Relative energy among the computed polymorphs ... 1.4000 eV per atom

Cell and atoms, written as CIF:
```
data_ZrSeIBr2
_chemical_formula_sum 'Zr1 Se1 I1 Br2'
_space_group_name_H-M_alt 'P 1'
_space_group_IT_number 1
_space_group_name_Hall 'P 1'
_cell_length_a 5.6002
_cell_length_b 5.6002
_cell_length_c 5.7573
_cell_angle_alpha 90.00
_cell_angle_beta 90.00
_cell_angle_gamma 90.00
loop_
_atom_site_label
_atom_site_type_symbol
_atom_site_fract_x
_atom_site_fract_y
_atom_site_fract_z
I1 I 0.0000 0.0000 0.0000
Se1 Se 0.0000 0.0000 0.5000
Br1 Br 0.0000 0.5000 0.0000
Br2 Br 0.5000 0.0000 0.0000
Zr1 Zr 0.5000 0.5000 0.5000
```


Entry from Alexandria: a relaxed Sr2TaSb crystal (PBE-GGA).

Properties
Density ... 6.22 g cm⁻³

Cell and atoms, written as CIF:
```
data_Sr2TaSb
_chemical_formula_sum 'Sr2 Ta1 Sb1'
_space_group_name_H-M_alt 'P 1'
_space_group_IT_number 1
_space_group_name_Hall 'P 1'
_cell_length_a 6.6454
_cell_length_b 6.6454
_cell_length_c 6.6454
_cell_angle_alpha 144.50
_cell_angle_beta 130.77
_cell_angle_gamma 62.16
loop_
_atom_site_label
_atom_site_type_symbol
_atom_site_fract_x
_atom_site_fract_y
_atom_site_fract_z
Sb1 Sb 0.2849 0.7849 0.5000
Sr1 Sr 0.0282 0.0282 0.0000
Sr2 Sr 0.7351 0.2351 0.5000
Ta1 Ta 0.4517 0.4517 0.0000
```


Total magnetic moment / μB/cell: 2.20; 1.76
Raw formation energy / eV/atom: 0.78; 0.23